Record 1
Material: B3SbO
Method: DFT, GGA-PBEsol
State: relaxed

abc: 4.4176 4.4176 4.4176
angles: 90.00 90.00 90.00
Element x y z (fractional)
B1 0.0000 0.5000 0.0000
Sb1 0.0000 0.0000 0.0000
O1 0.5000 0.5000 0.5000
B2 0.0000 0.0000 0.5000
B3 0.5000 0.0000 0.0000

Calculated values
formation energy from raw total energies	2578	meV per atom
magnetic moment	0.0	Bohr magnetons per cell
E_tot	-0.2641	Ry per atom

---

Record 2
Material: BSbTe2O
Method: DFT, GGA-PBEsol
State: relaxed

abc: 4.6643 4.7403 4.7403
angles: 90.00 90.00 90.00
Element x y z (fractional)
O1 0.0000 0.0000 0.0000
Sb1 0.5000 0.0000 0.0000
Te1 0.0000 0.0000 0.5000
Te2 0.0000 0.5000 0.0000
B1 0.5000 0.5000 0.5000

Calculated values
formation energy from raw total energies	872	meV per atom
magnetic moment	0.0	Bohr magnetons per cell
E_tot	-0.2869	Ry per atom

---

Record 3
Material: Sc2BO
Method: DFT, GGA-PBEsol
State: relaxed

abc: 5.0489 5.0489 6.1339
angles: 114.30 114.30 90.00
Element x y z (fractional)
O1 0.0000 0.0000 0.0000
Sc1 0.1250 0.0891 0.7500
Sc2 0.6250 0.6609 0.7500
Sc3 0.3391 0.8750 0.2500
B1 0.7500 0.2500 0.5000
O2 0.2500 0.7500 0.5000
Sc4 0.9109 0.3750 0.2500
B2 0.5000 0.5000 0.0000

Calculated values
formation energy from raw total energies	-1240	meV per atom
energy above the most stable polymorph in this dataset	0.0000	eV per atom
magnetic moment	0.0	Bohr magnetons per cell
E_tot	-0.5593	Ry per atom